Entry 1:
VASP calculation (PBE) on a geometry-optimized KUPS6 structure.

The structure belongs to space group P312 (No. 149); the cell edges are 6.2830, 6.2830 and 7.3553 Å and the angles 90.00°, 90.00° and 120.00°. The inequivalent atoms are K at (0.0000, 0.0000, 0.0000), U at (0.3333, 0.6667, 0.5000), P at (0.6667, 0.3333, 0.5000) and S at (0.3834, 0.0361, 0.6850).

Its total energy is -5.315 eV per atom.

Entry 2:
VASP calculation (PBE) on a geometry-optimized KVP2S structure.

The structure belongs to space group P4/mmm (No. 123); the cell edges are 5.102, 5.102 and 5.228 Å and the angles 90.00°, 90.00° and 90.00°. The inequivalent atoms are K at (0.000, 0.000, 0.000), V at (0.500, 0.500, 0.500), P at (0.000, 0.500, 0.000) and S at (0.000, 0.000, 0.500).

The calculation puts the offset from the most stable computed form at 2.130 eV per atom.

Entry 3:
VASP calculation (PBE) on a geometry-optimized KVP2S8 structure.

The structure belongs to space group R-3 (No. 148, hexagonal axes); the cell edges are 5.8995, 5.8995 and 28.6594 Å and the angles 90.00°, 90.00° and 120.00°. The inequivalent atoms are K at (0.0000, 0.0000, 0.0000), V at (0.0000, 0.0000, 0.5000), P at (0.0000, 0.0000, 0.2351), S at (0.0000, 0.0000, 0.3043) and S at (0.0014, 0.3391, 0.2126).

Its total energy is -4.930 eV per atom.

Entry 4:
VASP calculation (PBE) on a geometry-optimized KVP2S structure.

The structure belongs to space group P4/mmm (No. 123); the cell edges are 4.645, 4.645 and 4.753 Å and the angles 90.00°, 90.00° and 90.00°. The inequivalent atoms are K at (0.000, 0.000, 0.000), V at (0.500, 0.500, 0.500), P at (0.000, 0.500, 0.500) and S at (0.500, 0.500, 0.000).

The calculation puts the offset from the most stable computed form at 0.000 eV per atom.

Entry 5:
VASP calculation (PBE) on a geometry-optimized KP2WS structure.

The structure belongs to space group P4/mmm (No. 123); the cell edges are 4.964, 4.964 and 5.116 Å and the angles 90.00°, 90.00° and 90.00°. The inequivalent atoms are K at (0.000, 0.000, 0.000), P at (0.000, 0.500, 0.000), W at (0.500, 0.500, 0.500) and S at (0.000, 0.000, 0.500).

The calculation puts the offset from the most stable computed form at 2.645 eV per atom.

Entry 6:
VASP calculation (PBE) on a geometry-optimized KP2WS8 structure.

The structure belongs to space group R-3 (No. 148, hexagonal axes); the cell edges are 5.9580, 5.9580 and 28.7692 Å and the angles 90.00°, 90.00° and 120.00°. The inequivalent atoms are K at (0.0000, 0.0000, 0.0000), P at (0.0000, 0.0000, 0.2364), W at (0.0000, 0.0000, 0.5000), S at (0.0000, 0.0000, 0.3051) and S at (0.0015, 0.6629, 0.7862).

Its total energy is -5.169 eV per atom.

Entry 7:
VASP calculation (PBE) on a geometry-optimized KPWS2 structure.

The structure belongs to space group P4/mmm (No. 123); the cell edges are 5.179, 5.179 and 5.037 Å and the angles 90.00°, 90.00° and 90.00°. The inequivalent atoms are K at (0.000, 0.000, 0.000), P at (0.000, 0.000, 0.500), W at (0.500, 0.500, 0.500) and S at (0.000, 0.500, 0.000).

The calculation puts the offset from the most stable computed form at 2.644 eV per atom.

Entry 8:
VASP calculation (PBE) on a geometry-optimized KP2WS structure.

The structure belongs to space group P4/mmm (No. 123); the cell edges are 4.761, 4.761 and 4.882 Å and the angles 90.00°, 90.00° and 90.00°. The inequivalent atoms are K at (0.000, 0.000, 0.000), P at (0.000, 0.500, 0.500), W at (0.500, 0.500, 0.500) and S at (0.500, 0.500, 0.000).

The calculation puts the offset from the most stable computed form at 0.000 eV per atom.

Values of ρ, in order: 3.31; 2.25; 2.36; 2.98; 4.18; 3.05; 3.91; 4.76, all in g/cm3.
Values of DOS at the Fermi energy, in order: 0.1; 7.9; 0.1; 4.2; 4.6; 4.4; 5.2; 4.1, all in states/eV/f.u..